No. 1
Zr2Ti2Cd3 | PBE-GGA | relaxed

Unit cell a=3.002 b=32.933 c=2.987 alpha=90.00 beta=90.00 gamma=90.00
Space group Cmmm (No. 65)
Asymmetric unit:
1 Zr 0.000 0.205 0.000 [4 per cell]
2 Ti 0.000 0.359 0.500 [4 per cell]
3 Cd 0.000 0.073 0.000 [4 per cell]
4 Cd 0.000 0.500 0.500 [2 per cell]

Results
ρ, g cm⁻³: 6.92
E_form, kJ per mole of atoms: 3.3
E, eV per cell: -70.8
Magnetization, μB/atom: 0.000
DOS(E_F), states/eV/atom: 0.72


No. 2
Zr2TiCd | PBE-GGA | relaxed

Unit cell a=3.1467 b=3.1467 c=30.2180 alpha=90.00 beta=90.00 gamma=120.00
Space group R-3m (No. 166, hexagonal axes)
Asymmetric unit:
1 Zr 0.0000 0.0000 0.2459 [6 per cell]
2 Ti 0.0000 0.0000 0.5000 [3 per cell]
3 Cd 0.0000 0.0000 0.0000 [3 per cell]

Results
ρ, g cm⁻³: 6.59
E_form, kJ per mole of atoms: 3.5
E, eV per cell: -77.3
Magnetization, μB/atom: 0.000
DOS(E_F), states/eV/atom: 1.22


No. 3
ZrTi2Cd2 | PBE-GGA | relaxed

Unit cell a=3.001 b=22.736 c=3.019 alpha=90.00 beta=90.00 gamma=90.00
Space group Cmmm (No. 65)
Asymmetric unit:
1 Zr 0.000 0.000 0.000 [2 per cell]
2 Ti 0.000 0.405 0.500 [4 per cell]
3 Cd 0.000 0.192 0.000 [4 per cell]

Results
ρ, g cm⁻³: 6.64
E_form, kJ per mole of atoms: 4.5
E, eV per cell: -51.9
Energy above the lowest structure with this stoichiometry, eV/f.u.: 0.00
Magnetization, μB/atom: 0.000
DOS(E_F), states/eV/atom: 0.93


No. 4
Zr3TiCd | PBE-GGA | relaxed

Unit cell a=4.967 b=4.967 c=4.967 alpha=90.00 beta=90.00 gamma=90.00
Space group Pm-3m (No. 221)
Asymmetric unit:
1 Zr 0.000 0.000 0.500 [3 per cell]
2 Ti 0.000 0.000 0.000 [1 per cell]
3 Cd 0.500 0.500 0.500 [1 per cell]

Results
ρ, g cm⁻³: 5.88
E_form, kJ per mole of atoms: 67.1
E, eV per cell: -31.0
Energy above the lowest structure with this stoichiometry, eV/f.u.: 3.60
Magnetization, μB/atom: 0.000
DOS(E_F), states/eV/atom: 1.61


No. 5
ZrTi2Cd2 | PBE-GGA | relaxed

Unit cell a=7.969 b=7.969 c=3.183 alpha=90.00 beta=90.00 gamma=90.00
Space group P4/mbm (No. 127)
Asymmetric unit:
1 Zr 0.000 0.000 0.000 [2 per cell]
2 Ti 0.175 0.325 0.500 [4 per cell]
3 Cd 0.126 0.626 0.000 [4 per cell]

Results
ρ, g cm⁻³: 6.77
E_form, kJ per mole of atoms: 17.4
E, eV per cell: -50.5
Energy above the lowest structure with this stoichiometry, eV/f.u.: 0.67
Magnetization, μB/atom: 0.000
DOS(E_F), states/eV/atom: 1.64


No. 6
Zr2TiCd | PBE-GGA | relaxed

Unit cell a=5.422 b=3.128 c=10.308 alpha=90.00 beta=100.22 gamma=90.00
Space group Cm (No. 8)
Asymmetric unit:
1 Zr 0.000 0.000 0.000 [2 per cell]
2 Zr 0.174 0.000 0.525 [2 per cell]
3 Ti 0.088 0.500 0.763 [2 per cell]
4 Cd 0.421 0.000 0.263 [2 per cell]

Results
ρ, g cm⁻³: 6.62
E_form, kJ per mole of atoms: 4.0
E, eV per cell: -51.5
Magnetization, μB/atom: 0.000
DOS(E_F), states/eV/atom: 1.10


No. 7
Zr3TiCd | PBE-GGA | relaxed

Unit cell a=5.219 b=5.219 c=5.219 alpha=90.00 beta=90.00 gamma=90.00
Space group Pm-3m (No. 221)
Asymmetric unit:
1 Zr 0.000 0.000 0.500 [3 per cell]
2 Ti 0.500 0.500 0.500 [1 per cell]
3 Cd 0.000 0.000 0.000 [1 per cell]

Results
ρ, g cm⁻³: 5.07
E_form, kJ per mole of atoms: 122.3
E, eV per cell: -28.1
Energy above the lowest structure with this stoichiometry, eV/f.u.: 6.45
Magnetization, μB/atom: 0.797
DOS(E_F), states/eV/atom: 1.26


No. 8
Zr2TiCd | PBE-GGA | relaxed

Unit cell a=4.134 b=4.134 c=20.842 alpha=90.00 beta=90.00 gamma=90.00
Space group I-42d (No. 122)
Asymmetric unit:
1 Zr 0.245 0.250 0.125 [8 per cell]
2 Ti 0.000 0.000 0.000 [4 per cell]
3 Cd 0.000 0.000 0.500 [4 per cell]

Results
ρ, g cm⁻³: 6.39
E_form, kJ per mole of atoms: 42.9
E, eV per cell: -96.5
Magnetization, μB/atom: 0.000
DOS(E_F), states/eV/atom: 1.39


No. 9
Zr4TiCd10 | PBE-GGA | relaxed

Unit cell a=13.402 b=8.406 c=5.784 alpha=90.00 beta=101.56 gamma=90.00
Space group C2/m (No. 12)
Asymmetric unit:
1 Zr 0.101 0.000 0.404 [4 per cell]
2 Zr 0.200 0.500 0.805 [4 per cell]
3 Ti 0.000 0.500 0.000 [2 per cell]
4 Cd 0.000 0.335 0.500 [4 per cell]
5 Cd 0.099 0.168 0.901 [8 per cell]
6 Cd 0.198 0.334 0.300 [8 per cell]

Results
ρ, g cm⁻³: 8.00
E_form, kJ per mole of atoms: -3.2
E, eV per cell: -103.5
Magnetization, μB/atom: 0.048
DOS(E_F), states/eV/atom: 0.86


No. 10
Zr3TiCd | PBE-GGA | relaxed

Unit cell a=5.3403 b=5.3403 c=29.6702 alpha=90.00 beta=90.00 gamma=120.00
Space group R-3 (No. 148, hexagonal axes)
Asymmetric unit:
1 Zr 0.0027 0.6503 0.0887 [18 per cell]
2 Ti 0.0000 0.0000 0.1642 [6 per cell]
3 Cd 0.0000 0.0000 0.3329 [6 per cell]

Results
ρ, g cm⁻³: 5.90
E_form, kJ per mole of atoms: 37.3
E, eV per cell: -195.1
Energy above the lowest structure with this stoichiometry, eV/f.u.: 2.05
Magnetization, μB/atom: 0.000
DOS(E_F), states/eV/atom: 1.40


No. 11
ZrTi2Cd2 | PBE-GGA | relaxed

Unit cell a=8.245 b=8.245 c=2.953 alpha=90.00 beta=90.00 gamma=90.00
Space group P4/mbm (No. 127)
Asymmetric unit:
1 Zr 0.000 0.000 0.000 [2 per cell]
2 Ti 0.110 0.390 0.000 [4 per cell]
3 Cd 0.184 0.684 0.500 [4 per cell]

Results
ρ, g cm⁻³: 6.81
E_form, kJ per mole of atoms: 13.8
E, eV per cell: -50.9
Energy above the lowest structure with this stoichiometry, eV/f.u.: 0.48
Magnetization, μB/atom: 0.309
DOS(E_F), states/eV/atom: 0.78


No. 12
Zr2TiCd | PBE-GGA | relaxed

Unit cell a=4.382 b=4.382 c=4.335 alpha=90.00 beta=90.00 gamma=90.00
Space group P4/mmm (No. 123)
Asymmetric unit:
1 Zr 0.000 0.500 0.000 [2 per cell]
2 Ti 0.000 0.000 0.500 [1 per cell]
3 Cd 0.500 0.500 0.500 [1 per cell]

Results
ρ, g cm⁻³: 6.84
E_form, kJ per mole of atoms: -1.8
E, eV per cell: -26.0
Magnetization, μB/atom: 0.000
DOS(E_F), states/eV/atom: 1.31


No. 13
ZrTiCd2 | PBE-GGA | relaxed

Unit cell a=3.0326 b=3.0326 c=31.1137 alpha=90.00 beta=90.00 gamma=120.00
Space group R-3m (No. 166, hexagonal axes)
Asymmetric unit:
1 Zr 0.0000 0.0000 0.0000 [3 per cell]
2 Ti 0.0000 0.0000 0.5000 [3 per cell]
3 Cd 0.0000 0.0000 0.2467 [6 per cell]

Results
ρ, g cm⁻³: 7.32
E_form, kJ per mole of atoms: 6.2
E, eV per cell: -54.0
Energy above the lowest structure with this stoichiometry, eV/f.u.: 0.55
Magnetization, μB/atom: 0.000
DOS(E_F), states/eV/atom: 1.27


No. 14
ZrTi3Cd | PBE-GGA | relaxed

Unit cell a=4.852 b=4.852 c=4.852 alpha=90.00 beta=90.00 gamma=90.00
Space group Pm-3m (No. 221)
Asymmetric unit:
1 Zr 0.000 0.000 0.000 [1 per cell]
2 Ti 0.000 0.000 0.500 [3 per cell]
3 Cd 0.500 0.500 0.500 [1 per cell]

Results
ρ, g cm⁻³: 5.05
E_form, kJ per mole of atoms: 103.1
E, eV per cell: -27.8
Energy above the lowest structure with this stoichiometry, eV/f.u.: 0.00
Magnetization, μB/atom: 0.291
DOS(E_F), states/eV/atom: 1.44


No. 15
ZrTi3Cd | PBE-GGA | relaxed

Unit cell a=4.947 b=4.947 c=4.947 alpha=90.00 beta=90.00 gamma=90.00
Space group Pm-3m (No. 221)
Asymmetric unit:
1 Zr 0.000 0.000 0.000 [1 per cell]
2 Ti 0.000 0.500 0.500 [3 per cell]
3 Cd 0.500 0.500 0.500 [1 per cell]

Results
ρ, g cm⁻³: 4.76
E_form, kJ per mole of atoms: 113.9
E, eV per cell: -27.2
Energy above the lowest structure with this stoichiometry, eV/f.u.: 0.56
Magnetization, μB/atom: 0.779
DOS(E_F), states/eV/atom: 1.04


No. 16
ZrTiCd2 | PBE-GGA | relaxed

Unit cell a=6.884 b=6.884 c=6.884 alpha=90.00 beta=90.00 gamma=90.00
Space group Fm-3m (No. 225)
Asymmetric unit:
1 Zr 0.000 0.000 0.000 [4 per cell]
2 Ti 0.000 0.000 0.500 [4 per cell]
3 Cd 0.250 0.250 0.250 [8 per cell]

Results
ρ, g cm⁻³: 7.41
E_form, kJ per mole of atoms: 2.4
E, eV per cell: -72.7
Energy above the lowest structure with this stoichiometry, eV/f.u.: 0.39
Magnetization, μB/atom: 0.000
DOS(E_F), states/eV/atom: 0.08


No. 17
ZrTiCd2 | PBE-GGA | relaxed

Unit cell a=4.348 b=4.148 c=9.200 alpha=90.00 beta=90.00 gamma=90.00
Space group Pmma (No. 51)
Asymmetric unit:
1 Zr 0.250 0.000 0.120 [2 per cell]
2 Ti 0.250 0.500 0.889 [2 per cell]
3 Cd 0.250 0.000 0.628 [2 per cell]
4 Cd 0.250 0.500 0.373 [2 per cell]

Results
ρ, g cm⁻³: 7.28
E_form, kJ per mole of atoms: -7.1
E, eV per cell: -37.1
Energy above the lowest structure with this stoichiometry, eV/f.u.: 0.00
Magnetization, μB/atom: 0.000
DOS(E_F), states/eV/atom: 0.73


No. 18
ZrTiCd2 | PBE-GGA | relaxed

Unit cell a=3.407 b=3.407 c=6.995 alpha=90.00 beta=90.00 gamma=90.00
Space group P4/mmm (No. 123)
Asymmetric unit:
1 Zr 0.000 0.000 0.000 [1 per cell]
2 Ti 0.000 0.000 0.500 [1 per cell]
3 Cd 0.500 0.500 0.269 [2 per cell]

Results
ρ, g cm⁻³: 7.44
E_form, kJ per mole of atoms: 0.9
E, eV per cell: -18.2
Energy above the lowest structure with this stoichiometry, eV/f.u.: 0.33
Magnetization, μB/atom: 0.000
DOS(E_F), states/eV/atom: 0.26


No. 19
Zr2TiCd | PBE-GGA | relaxed

Unit cell a=3.049 b=3.049 c=9.096 alpha=90.00 beta=90.00 gamma=90.00
Space group P4/mmm (No. 123)
Asymmetric unit:
1 Zr 0.000 0.000 0.231 [2 per cell]
2 Ti 0.500 0.500 0.000 [1 per cell]
3 Cd 0.500 0.500 0.500 [1 per cell]

Results
ρ, g cm⁻³: 6.73
E_form, kJ per mole of atoms: -7.9
E, eV per cell: -26.2
Magnetization, μB/atom: 0.000
DOS(E_F), states/eV/atom: 0.69


No. 20
Zr2TiCd5 | PBE-GGA | relaxed

Unit cell a=6.260 b=12.453 c=4.316 alpha=90.00 beta=90.00 gamma=90.00
Space group Pbam (No. 55)
Asymmetric unit:
1 Zr 0.228 0.119 0.000 [4 per cell]
2 Ti 0.000 0.000 0.500 [2 per cell]
3 Cd 0.000 0.500 0.500 [2 per cell]
4 Cd 0.015 0.751 0.500 [4 per cell]
5 Cd 0.239 0.376 0.000 [4 per cell]

Results
ρ, g cm⁻³: 7.82
E_form, kJ per mole of atoms: -5.4
E, eV per cell: -60.0
Magnetization, μB/atom: 0.147
DOS(E_F), states/eV/atom: 0.79


No. 21
ZrTiCd2 | PBE-GGA | relaxed

Unit cell a=7.954 b=7.954 c=5.512 alpha=90.00 beta=90.00 gamma=90.00
Space group I-42d (No. 122)
Asymmetric unit:
1 Zr 0.000 0.000 0.000 [4 per cell]
2 Ti 0.000 0.000 0.500 [4 per cell]
3 Cd 0.230 0.250 0.625 [8 per cell]

Results
ρ, g cm⁻³: 6.93
E_form, kJ per mole of atoms: 34.9
E, eV per cell: -67.3
Energy above the lowest structure with this stoichiometry, eV/f.u.: 1.74
Magnetization, μB/atom: 0.000
DOS(E_F), states/eV/atom: 1.25


No. 22
Zr3Ti2Cd | PBE-GGA | relaxed

Unit cell a=3.061 b=3.061 c=13.382 alpha=90.00 beta=90.00 gamma=90.00
Space group P4/mmm (No. 123)
Asymmetric unit:
1 Zr 0.000 0.000 0.000 [1 per cell]
2 Zr 0.000 0.000 0.317 [2 per cell]
3 Ti 0.500 0.500 0.162 [2 per cell]
4 Cd 0.500 0.500 0.500 [1 per cell]

Results
ρ, g cm⁻³: 6.38
E_form, kJ per mole of atoms: -2.3
E, eV per cell: -42.5
Magnetization, μB/atom: 0.000
DOS(E_F), states/eV/atom: 1.14


No. 23
TlCd | PBE-GGA | relaxed

Unit cell a=3.4808 b=3.4808 c=10.3806 alpha=90.00 beta=90.00 gamma=120.00
Space group P-3m1 (No. 164)
Asymmetric unit:
1 Tl 0.3333 0.6667 0.1405 [2 per cell]
2 Cd 0.3333 0.6667 0.6119 [2 per cell]

Results
ρ, g cm⁻³: 9.66
E_form, kJ per mole of atoms: 4.0
E, eV per cell: -6.4
Magnetization, μB/atom: 0.000
DOS(E_F), states/eV/atom: 0.42


No. 24
Tl2Cd7 | PBE-GGA | relaxed

Unit cell a=6.0179 b=6.0179 c=44.7345 alpha=90.00 beta=90.00 gamma=120.00
Space group R-3m (No. 166, hexagonal axes)
Asymmetric unit:
1 Tl 0.0000 0.0000 0.0458 [6 per cell]
2 Tl 0.0000 0.0000 0.1506 [6 per cell]
3 Cd 0.0000 0.0000 0.2771 [6 per cell]
4 Cd 0.0000 0.0000 0.3899 [6 per cell]
5 Cd 0.0000 0.0000 0.5000 [3 per cell]
6 Cd 0.0000 0.5000 0.0000 [9 per cell]
7 Cd 0.0038 0.5019 0.8878 [18 per cell]

Results
ρ, g cm⁻³: 8.49
E_form, kJ per mole of atoms: 3.7
E, eV per cell: -64.8
Magnetization, μB/atom: 0.000
DOS(E_F), states/eV/atom: 0.32


No. 25
TlCd | PBE-GGA | relaxed

Unit cell a=3.383 b=3.383 c=19.677 alpha=90.00 beta=90.00 gamma=90.00
Space group I4/mmm (No. 139)
Asymmetric unit:
1 Tl 0.000 0.000 0.083 [4 per cell]
2 Cd 0.000 0.000 0.300 [4 per cell]

Results
ρ, g cm⁻³: 9.35
E_form, kJ per mole of atoms: 3.9
E, eV per cell: -12.8
Magnetization, μB/atom: 0.000
DOS(E_F), states/eV/atom: 0.52


No. 26
TlCd | PBE-GGA | relaxed

Unit cell a=3.334 b=5.653 c=5.845 alpha=90.00 beta=90.00 gamma=90.00
Space group Pmmn (No. 59, origin choice 2)
Asymmetric unit:
1 Tl 0.250 0.250 0.101 [2 per cell]
2 Cd 0.250 0.750 0.407 [2 per cell]

Results
ρ, g cm⁻³: 9.55
E_form, kJ per mole of atoms: 6.7
E, eV per cell: -6.3
Magnetization, μB/atom: 0.000
DOS(E_F), states/eV/atom: 0.56